[1]
This record from the Alexandria database describes a relaxed structure of Ca3Ni4Ge2. The functional is PBE.

Cell and atoms, written as extended XYZ:
```
9
Lattice="4.085 0.000 0.000 -2.042 5.005 -1.262 0.000 0.260 8.164" Properties=species:S:1:pos:R:3 pbc="T T T"
Ni 0.000 2.835 6.817
Ni 2.042 2.431 0.085
Ca 2.042 1.318 2.821
Ca 0.000 3.947 4.082
Ge 2.042 2.003 5.929
Ge 0.000 3.263 0.974
Ni 0.000 1.066 4.980
Ni 2.042 4.200 1.923
Ca 0.000 0.000 0.000
```

calculated total energy: -4.706 eV per atom
formation enthalpy at 0 K: -443 meV/atom

---

[2]
This record from the Alexandria database describes a relaxed structure of CaNi3Ge. The functional is PBE.

Cell and atoms, written as extended XYZ:
```
10
Lattice="-1.124 -0.322 4.304 -2.176 -5.064 -0.947 6.232 -2.942 1.408" Properties=species:S:1:pos:R:3 pbc="T T T"
Ni 1.016 -2.012 0.115
Ge 3.116 -1.471 0.704
Ni -0.083 -4.539 -0.361
Ni 2.554 -1.632 2.856
Ni 3.040 -5.994 0.346
Ni -1.650 -2.693 1.679
Ca -0.562 -0.161 2.152
Ni 4.139 -3.467 0.822
Ca 1.466 -4.164 2.382
Ge -1.088 -2.532 -0.474
```

calculated total energy: -4.776 eV per atom
polymorph energy (0 for the lowest one): 0.000 eV/atom
formation enthalpy at 0 K: 16 meV/atom

---

[3]
This record from the Alexandria database describes a relaxed structure of CaNi3Ge. The functional is PBE.

Cell and atoms, written as extended XYZ:
```
5
Lattice="4.547 0.000 0.000 0.000 4.547 0.000 0.000 0.000 4.547" Properties=species:S:1:pos:R:3 pbc="T T T"
Ge 2.273 2.273 2.273
Ni 2.273 0.000 0.000
Ni 0.000 2.273 0.000
Ca 0.000 0.000 0.000
Ni 0.000 0.000 2.273
```

calculated total energy: -3.367 eV per atom
polymorph energy (0 for the lowest one): 1.409 eV/atom
formation enthalpy at 0 K: 1425 meV/atom

---

[4]
This record from the Alexandria database describes a relaxed structure of Ca5Ni17Ge8. The functional is PBE.

Cell and atoms, written as extended XYZ:
```
30
Lattice="13.440 -0.037 0.000 -10.412 8.498 0.000 0.000 0.000 4.028" Properties=species:S:1:pos:R:3 pbc="T T T"
Ni -4.193 4.383 2.014
Ni 0.418 4.841 2.014
Ca 0.660 1.845 2.014
Ni -0.908 3.809 0.000
Ge 7.920 4.066 0.000
Ni -2.056 2.636 2.014
Ni -2.848 7.166 2.014
Ca -5.820 6.712 2.014
Ni 2.749 4.007 2.014
Ni 6.174 2.311 0.000
Ni -3.308 3.229 0.000
Ni 3.119 2.368 0.000
Ge 1.459 4.076 0.000
Ni -9.054 7.512 2.014
Ge 11.630 1.296 0.000
Ge 2.296 6.417 2.014
Ni -3.306 5.704 0.000
Ge -1.913 5.015 2.014
Ni 6.748 3.733 2.014
Ca 8.758 1.496 2.014
Ni 2.807 7.845 0.000
Ca -0.356 6.930 0.000
Ge -3.542 8.167 0.000
Ni 6.022 0.728 2.014
Ge 4.660 2.663 2.014
Ni 11.765 0.063 2.014
Ge -8.168 8.380 0.000
Ca 4.671 5.131 0.000
Ni 4.605 0.398 0.000
Ni 3.261 0.734 2.014
```

calculated total energy: -5.277 eV per atom
formation enthalpy at 0 K: -436 meV/atom

---

[5]
This record from the Alexandria database describes a relaxed structure of CaNi4Ge4. The functional is PBE.

Cell and atoms, written as extended XYZ:
```
18
Lattice="-3.445 -1.687 2.411 4.176 -6.904 1.134 3.251 3.084 6.804" Properties=species:S:1:pos:R:3 pbc="T T T"
Ni -0.040 -5.751 4.431
Ni 0.150 -2.490 2.728
Ni 0.578 -1.443 8.328
Ca 0.000 0.000 0.000
Ni 3.833 -3.017 7.621
Ge 1.257 -4.768 2.715
Ge 2.517 1.069 4.345
Ni 1.220 0.086 6.061
Ge 2.726 -0.738 7.634
Ge -1.456 -3.948 3.669
Ni 5.585 -3.556 5.492
Ge 0.003 -0.493 3.916
Ge 3.979 -5.015 6.433
Ca 1.991 -2.754 5.174
Ni 1.841 -0.264 2.447
Ge 1.994 -3.246 9.090
Ge 4.910 -4.889 3.594
Ni 2.762 -5.594 4.288
```

calculated total energy: -5.162 eV per atom
formation enthalpy at 0 K: -318 meV/atom

---

[6]
This record from the Alexandria database describes a relaxed structure of Ca2Ni5Ge4. The functional is PBE.

Cell and atoms, written as extended XYZ:
```
11
Lattice="5.364 0.000 0.000 2.682 4.752 0.000 2.682 0.000 7.125" Properties=species:S:1:pos:R:3 pbc="T T T"
Ni 2.682 0.000 0.000
Ge 5.364 1.522 5.305
Ge 5.364 3.230 1.820
Ni 4.023 2.376 3.562
Ni 1.341 2.376 0.000
Ni 4.023 2.376 0.000
Ca 5.364 0.000 1.908
Ge 8.045 3.230 5.305
Ca 2.682 0.000 5.216
Ni 6.704 2.376 3.562
Ge 2.682 1.522 1.820
```

calculated total energy: -5.131 eV per atom
formation enthalpy at 0 K: -460 meV/atom

---

[7]
This record from the Alexandria database describes a relaxed structure of Ca2Ni3Ge2. The functional is PBE.

Cell and atoms, written as extended XYZ:
```
7
Lattice="3.845 0.000 0.000 -1.923 5.357 -0.263 0.000 -2.787 6.265" Properties=species:S:1:pos:R:3 pbc="T T T"
Ni 1.923 0.000 0.000
Ca 1.923 3.300 1.331
Ni 1.923 0.491 2.565
Ge 1.923 1.645 4.705
Ge 0.000 0.925 1.296
Ni 0.000 2.080 3.436
Ca 0.000 -0.729 4.671
```

calculated total energy: -4.820 eV per atom
polymorph energy (0 for the lowest one): 0.055 eV/atom
formation enthalpy at 0 K: -451 meV/atom

---

[8]
This record from the Alexandria database describes a relaxed structure of CaNi5Ge2. The functional is PBE.

Cell and atoms, written as extended XYZ:
```
8
Lattice="-3.618 -0.029 0.519 -2.186 -4.963 -2.648 -1.241 -4.369 3.974" Properties=species:S:1:pos:R:3 pbc="T T T"
Ni -1.714 -4.666 0.663
Ca 0.000 0.000 0.000
Ni -3.671 -6.118 -0.191
Ni -3.374 -3.244 2.036
Ge -1.761 -2.351 0.462
Ge -5.284 -7.011 1.383
Ni -3.320 -5.898 2.267
Ni -3.725 -3.464 -0.421
```

calculated total energy: -5.355 eV per atom
formation enthalpy at 0 K: -337 meV/atom

---

[9]
This record from the Alexandria database describes a relaxed structure of CaNi6Ge4. The functional is PBE.

Cell and atoms, written as extended XYZ:
```
11
Lattice="-2.874 2.410 -0.066 -4.234 -5.099 -1.785 1.046 1.430 6.631" Properties=species:S:1:pos:R:3 pbc="T T T"
Ge -0.714 -0.746 3.826
Ni -1.480 1.288 4.862
Ni -2.196 -2.632 -0.469
Ge -4.662 -2.647 -0.210
Ni -1.789 -2.075 2.113
Ni -3.437 -4.061 1.418
Ge -4.216 -2.037 2.620
Ni -1.879 0.743 2.335
Ge -2.855 -0.470 0.552
Ni -3.094 -0.655 4.182
Ca 0.000 0.000 0.000
```

calculated total energy: -5.438 eV per atom
formation enthalpy at 0 K: -423 meV/atom

---

[10]
This record from the Alexandria database describes a relaxed structure of Ca3Ni7Ge2. The functional is PBE.

Cell and atoms, written as extended XYZ:
```
12
Lattice="5.016 0.000 1.570 2.262 4.476 1.570 0.138 0.085 8.356" Properties=species:S:1:pos:R:3 pbc="T T T"
Ni 4.228 4.104 4.087
Ni 5.570 1.922 4.087
Ni 1.846 2.639 7.409
Ca 1.110 0.683 5.249
Ca 0.000 0.000 0.000
Ni 3.125 1.922 3.322
Ni 3.188 0.457 7.409
Ca 6.305 3.878 6.247
Ni 4.290 2.639 8.174
Ge 2.411 1.483 1.095
Ge 5.005 3.078 10.401
Ni 3.708 2.281 5.748
```

calculated total energy: -4.975 eV per atom
formation enthalpy at 0 K: -332 meV/atom

---

[11]
This record from the Alexandria database describes a relaxed structure of Ca3Ni2Ge3. The functional is PBE.

Cell and atoms, written as extended XYZ:
```
16
Lattice="-2.324 -1.103 -3.392 3.193 -4.370 1.905 -10.638 -4.024 8.597" Properties=species:S:1:pos:R:3 pbc="T T T"
Ge -4.254 -5.737 4.780
Ca -9.143 -4.357 7.681
Ge -8.441 -5.265 4.824
Ge -1.013 -2.057 -1.309
Ca -6.173 -3.234 5.281
Ge -8.756 -7.440 8.419
Ge -1.328 -4.233 2.287
Ni -9.610 -7.022 6.196
Ca -0.626 -5.140 -0.571
Ca -6.483 -6.642 6.602
Ni -0.159 -2.476 0.914
Ni -3.436 -3.715 3.562
Ni -6.334 -5.782 3.549
Ca -3.286 -2.855 0.508
Ge -5.515 -3.760 2.330
Ca -3.596 -6.264 1.830
```

calculated total energy: -4.495 eV per atom
formation enthalpy at 0 K: -567 meV/atom